No. 1
The following is a DFT calculation (PBE) of crystalline PmGaGe4 at its relaxed geometry.

Unit cell a=5.603 b=5.603 c=5.603 alpha=60.00 beta=60.00 gamma=60.00
Fractional positions:
Pm  0.000  0.000  0.000
Ga  0.750  0.750  0.750
Ge  0.376  0.376  0.376
Ge  0.376  0.376  0.873
Ge  0.376  0.873  0.376
Ge  0.873  0.376  0.376

Summary:
Formation enthalpy at 0 K: -181.0 meV/atom
Electronic total energy: -4.556 eV per atom



No. 2
The following is a DFT calculation (PBE) of crystalline Pm2Ga3Ge4 at its relaxed geometry.

Unit cell a=8.069 b=8.069 c=8.149 alpha=90.00 beta=90.00 gamma=135.24
Fractional positions:
Pm  0.117  0.883  0.919
Pm  0.383  0.617  0.419
Pm  0.617  0.383  0.581
Pm  0.883  0.117  0.081
Ga  0.000  0.000  0.500
Ga  0.036  0.464  0.750
Ga  0.464  0.036  0.250
Ga  0.500  0.500  0.000
Ga  0.536  0.964  0.750
Ga  0.964  0.536  0.250
Ge  0.186  0.814  0.556
Ge  0.206  0.294  0.750
Ge  0.294  0.206  0.250
Ge  0.314  0.686  0.056
Ge  0.686  0.314  0.944
Ge  0.706  0.794  0.750
Ge  0.794  0.706  0.250
Ge  0.814  0.186  0.444

Summary:
Formation enthalpy at 0 K: -415.3 meV/atom
Electronic total energy: -4.532 eV per atom



No. 3
The following is a DFT calculation (PBE) of crystalline Pm3GaGe5 at its relaxed geometry.

Unit cell a=8.802 b=8.802 c=6.039 alpha=90.00 beta=90.00 gamma=120.00
Fractional positions:
Pm  0.000  0.376  0.250
Pm  0.000  0.624  0.750
Pm  0.376  0.000  0.250
Pm  0.376  0.376  0.750
Pm  0.624  0.000  0.750
Pm  0.624  0.624  0.250
Ga  0.000  0.000  0.000
Ga  0.000  0.000  0.500
Ge  0.000  0.278  0.750
Ge  0.000  0.722  0.250
Ge  0.278  0.000  0.750
Ge  0.278  0.278  0.250
Ge  0.333  0.667  0.000
Ge  0.333  0.667  0.500
Ge  0.667  0.333  0.000
Ge  0.667  0.333  0.500
Ge  0.722  0.000  0.250
Ge  0.722  0.722  0.750

Summary:
Formation enthalpy at 0 K: -442.5 meV/atom
Electronic total energy: -4.928 eV per atom



No. 4
The following is a DFT calculation (PBE) of crystalline Pm3Ga4Ge3 at its relaxed geometry.

Unit cell a=8.378 b=8.378 c=8.378 alpha=109.47 beta=109.47 gamma=109.47
Fractional positions:
Pm  0.125  0.750  0.875
Pm  0.250  0.625  0.375
Pm  0.375  0.250  0.625
Pm  0.625  0.375  0.250
Pm  0.750  0.875  0.125
Pm  0.875  0.125  0.750
Ga  0.000  0.308  0.500
Ga  0.000  0.808  0.500
Ga  0.192  0.192  0.192
Ga  0.308  0.500  0.000
Ga  0.500  0.000  0.308
Ga  0.500  0.000  0.808
Ga  0.692  0.692  0.692
Ga  0.808  0.500  0.000
Ge  0.125  0.875  0.250
Ge  0.250  0.125  0.875
Ge  0.375  0.625  0.750
Ge  0.625  0.750  0.375
Ge  0.750  0.375  0.625
Ge  0.875  0.250  0.125

Summary:
Formation enthalpy at 0 K: -510.7 meV/atom
Electronic total energy: -4.532 eV per atom